# TlIr3

Crystalline TlIr3 at its relaxed geometry (PBE-GGA, Alexandria via LeMat-Bulk).

Cell: 9.2919 9.2919 9.2919 Å, 17.89 17.89 17.89°
Last column: nearest neighbours and their distance in Å.
Fractional positions:
Tl1 0.0000 0.0000 0.0000  6 Tl 2.89, 6 Ir 2.96
Ir1 0.2440 0.2440 0.2440  9 Ir 2.70-2.89, 3 Tl 2.96
Ir2 0.5000 0.5000 0.5000  12 Ir 2.70-2.89
Ir3 0.7560 0.7560 0.7560  9 Ir 2.70-2.89, 3 Tl 2.96

## Properties
Spin magnetization (μB/f.u.): 0.0
E (eV per atom): -6.74
Formation enthalpy at 0 K (eV/atom): 0.502
SG: R-3m (166)